VASP calculation (PBE-GGA) on a relaxed structure of Hg3TeI.

Cell: 4.812 9.266 10.390 Å, 68.61 90.00 75.09°
Space group P-1 (No. 2)
One atom of each set of equivalent atoms:
Hg 0.051 0.399 0.431 (multiplicity 2)
Hg 0.100 0.301 0.209 (multiplicity 2)
Hg 0.309 0.882 0.132 (multiplicity 2)
Te 0.133 0.234 0.954 (multiplicity 2)
I 0.321 0.861 0.415 (multiplicity 2)

Results
Formation energy (no corrections) in meV per atom: -97
Crystal system: triclinic
Density of states at the Fermi level in states/eV/f.u.: 0.28
Polymorph energy (0 for the lowest one) in meV per atom: 0

VASP calculation (PBE-GGA) on a relaxed structure of HgTe2I.

Cell: 7.985 7.985 9.513 Å, 90.00 90.00 90.00°
Space group I-42d (No. 122)
One atom of each set of equivalent atoms:
Hg 0.000 0.000 0.000 (multiplicity 4)
Te 0.212 0.750 0.125 (multiplicity 8)
I 0.000 0.000 0.500 (multiplicity 4)

Results
Formation energy (no corrections) in meV per atom: 283
Crystal system: tetragonal
Density of states at the Fermi level in states/eV/f.u.: 5.94
Polymorph energy (0 for the lowest one) in meV per atom: 188

What are the VASP energy values for these records? In order: -1.216 -1.751 eV per atom.
What are the total moment values for these records? In order: 0.0 0.0 μB per formula unit.